Arrangement 1

VASP calculation (PBE) on a relaxed structure of Pm7Nd12Ho.

Values from the calculation:
Calculated density = 6.727 Mg/m³
Density of states at the Fermi level = 24.97 states/eV per cell

Cell lengths 11.1761, 11.1761, 11.1761 Å; angles 115.83, 115.83, 115.83 degrees
With the nearest neighbours (Å) after each atom.
Sites, in units of the cell vectors:
1 Pm 0.0000 0.0000 0.0000  6 Pm 3.47, 2 Ho 3.47
2 Pm 0.1223 0.4267 0.2837  3 Nd 3.21-3.54, 1 Ho 3.27, 1 Pm 3.47
3 Pm 0.2837 0.1223 0.4267  3 Nd 3.21-3.54, 1 Ho 3.27, 1 Pm 3.47
4 Pm 0.4267 0.2837 0.1223  3 Nd 3.21-3.54, 1 Ho 3.27, 1 Pm 3.47
5 Pm 0.5733 0.7163 0.8777  3 Nd 3.21-3.54, 1 Ho 3.27, 1 Pm 3.47
6 Pm 0.7163 0.8777 0.5733  3 Nd 3.21-3.54, 1 Ho 3.27, 1 Pm 3.47
7 Pm 0.8777 0.5733 0.7163  3 Nd 3.21-3.54, 1 Ho 3.27, 1 Pm 3.47
8 Nd 0.0015 0.7878 0.5740  4 Nd 3.27-3.56, 2 Pm 3.54-3.59
9 Nd 0.2122 0.4260 0.9985  4 Nd 3.27-3.56, 2 Pm 3.54-3.59
10 Nd 0.2288 0.7517 0.2959  2 Pm 3.21-3.38, 5 Nd 3.27-3.59
11 Nd 0.2483 0.7041 0.7712  2 Pm 3.21-3.38, 5 Nd 3.27-3.59
12 Nd 0.2959 0.2288 0.7517  2 Pm 3.21-3.38, 5 Nd 3.27-3.59
13 Nd 0.4260 0.9985 0.2122  4 Nd 3.27-3.56, 2 Pm 3.54-3.59
14 Nd 0.5740 0.0015 0.7878  4 Nd 3.27-3.56, 2 Pm 3.54-3.59
15 Nd 0.7041 0.7712 0.2483  2 Pm 3.21-3.38, 5 Nd 3.27-3.59
16 Nd 0.7517 0.2959 0.2288  2 Pm 3.21-3.38, 5 Nd 3.27-3.59
17 Nd 0.7712 0.2483 0.7041  2 Pm 3.21-3.38, 5 Nd 3.27-3.59
18 Nd 0.7878 0.5740 0.0015  4 Nd 3.27-3.56, 2 Pm 3.54-3.59
19 Nd 0.9985 0.2122 0.4260  4 Nd 3.27-3.56, 2 Pm 3.54-3.59
20 Ho 0.5000 0.5000 0.5000  8 Pm 3.27-3.47

=====

Arrangement 2

VASP calculation (PBE) on a relaxed structure of Pm7Nd12Ho.

Values from the calculation:
Calculated density = 6.832 Mg/m³
Density of states at the Fermi level = 40.16 states/eV per cell

Cell lengths 8.9176, 8.9176, 8.9176 Å; angles 87.67, 87.67, 87.67 degrees
With the nearest neighbours (Å) after each atom.
Sites, in units of the cell vectors:
1 Pm 0.0000 0.0000 0.0000  6 Nd 3.35
2 Pm 0.1078 0.3518 0.4264  3 Pm 3.47-3.57, 7 Nd 3.63-3.84, 1 Ho 3.88
3 Pm 0.3518 0.4264 0.1078  3 Pm 3.47-3.57, 7 Nd 3.63-3.84, 1 Ho 3.88
4 Pm 0.4264 0.1078 0.3518  3 Pm 3.47-3.57, 7 Nd 3.63-3.84, 1 Ho 3.88
5 Pm 0.5736 0.8922 0.6482  3 Pm 3.47-3.57, 7 Nd 3.63-3.84, 1 Ho 3.88
6 Pm 0.6482 0.5736 0.8922  3 Pm 3.47-3.57, 7 Nd 3.63-3.84, 1 Ho 3.88
7 Pm 0.8922 0.6482 0.5736  3 Pm 3.47-3.57, 7 Nd 3.63-3.84, 1 Ho 3.88
8 Nd 0.0086 0.3627 0.8855  4 Nd 3.25-3.45, 1 Pm 3.35
9 Nd 0.1145 0.9914 0.6373  4 Nd 3.25-3.45, 1 Pm 3.35
10 Nd 0.2254 0.7550 0.3544  3 Nd 3.28-3.45, 1 Ho 3.52, 1 Pm 3.63
11 Nd 0.2450 0.6456 0.7746  3 Nd 3.28-3.45, 1 Ho 3.52, 1 Pm 3.63
12 Nd 0.3544 0.2254 0.7550  3 Nd 3.28-3.45, 1 Ho 3.52, 1 Pm 3.63
13 Nd 0.3627 0.8855 0.0086  4 Nd 3.25-3.45, 1 Pm 3.35
14 Nd 0.6373 0.1145 0.9914  4 Nd 3.25-3.45, 1 Pm 3.35
15 Nd 0.6456 0.7746 0.2450  3 Nd 3.28-3.45, 1 Ho 3.52, 1 Pm 3.63
16 Nd 0.7550 0.3544 0.2254  3 Nd 3.28-3.45, 1 Ho 3.52, 1 Pm 3.63
17 Nd 0.7746 0.2450 0.6456  3 Nd 3.28-3.45, 1 Ho 3.52, 1 Pm 3.63
18 Nd 0.8855 0.0086 0.3627  4 Nd 3.25-3.45, 1 Pm 3.35
19 Nd 0.9914 0.6373 0.1145  4 Nd 3.25-3.45, 1 Pm 3.35
20 Ho 0.5000 0.5000 0.5000  6 Nd 3.52, 6 Pm 3.88

=====

On energetic grounds, arrangement 2 is preferred over the next structure by 52 meV/atom.